A relaxed ThVBr crystal. Source: Alexandria via LeMat-Bulk, functional PBE.

CIF file:
```
data_ThVBr
_cell_length_a 3.555
_cell_length_b 24.643
_cell_length_c 4.069
_cell_angle_alpha 90.00
_cell_angle_beta 90.00
_cell_angle_gamma 90.00
_space_group_name_H-M_alt 'C m c m'
_space_group_IT_number 63
_space_group_name_Hall '-C 2c 2'
loop_
_atom_site_label
_atom_site_fract_x
_atom_site_fract_y
_atom_site_fract_z
Th1 0.000 0.089 0.250
V1 0.000 0.484 0.250
Br1 0.000 0.177 0.750
```

Results
E = -6.390 eV/atom
size of the total moment = 0.00 μB per cell

***

A relaxed PuSnPbO6 crystal. Source: Alexandria via LeMat-Bulk, functional PBE.

CIF file:
```
data_PuSnPbO6
_cell_length_a 5.5831
_cell_length_b 5.5831
_cell_length_c 10.7237
_cell_angle_alpha 90.00
_cell_angle_beta 90.00
_cell_angle_gamma 120.00
_space_group_name_H-M_alt 'P -3 1 c'
_space_group_IT_number 163
_space_group_name_Hall '-P 3 2c'
loop_
_atom_site_label
_atom_site_fract_x
_atom_site_fract_y
_atom_site_fract_z
Pu1 0.3333 0.6667 0.2500
Sn1 0.3333 0.6667 0.7500
Pb1 0.0000 0.0000 0.0000
O1 0.0033 0.3689 0.1447
```

Results
E = -7.597 eV/atom
size of the total moment = 4.00 μB per cell

***

A relaxed ZrSiAu3 crystal. Source: Alexandria via LeMat-Bulk, functional PBE.

CIF file:
```
data_ZrSiAu3
_cell_length_a 4.711
_cell_length_b 4.711
_cell_length_c 4.711
_cell_angle_alpha 90.00
_cell_angle_beta 90.00
_cell_angle_gamma 90.00
_space_group_name_H-M_alt 'P m -3 m'
_space_group_IT_number 221
_space_group_name_Hall '-P 4 2 3'
loop_
_atom_site_label
_atom_site_fract_x
_atom_site_fract_y
_atom_site_fract_z
Zr1 0.000 0.000 0.000
Si1 0.500 0.500 0.500
Au1 0.000 0.500 0.500
```

Results
E = -4.591 eV/atom
size of the total moment = 0.64 μB per cell

***

A relaxed ZnFe14Ge crystal. Source: Alexandria via LeMat-Bulk, functional PBE.

CIF file:
```
data_ZnFe14Ge
_cell_length_a 5.850
_cell_length_b 8.031
_cell_length_c 8.012
_cell_angle_alpha 90.00
_cell_angle_beta 90.00
_cell_angle_gamma 90.00
_space_group_name_H-M_alt 'C m m m'
_space_group_IT_number 65
_space_group_name_Hall '-C 2 2'
loop_
_atom_site_label
_atom_site_fract_x
_atom_site_fract_y
_atom_site_fract_z
Zn1 0.000 0.000 0.000
Fe1 0.000 0.000 0.500
Fe2 0.000 0.250 0.249
Fe3 0.000 0.500 0.500
Fe4 0.249 0.500 0.255
Fe5 0.250 0.250 0.000
Fe6 0.250 0.250 0.500
Ge1 0.000 0.500 0.000
```

Results
formation energy = -0.1 eV/f.u.
size of the total moment = 63.96 μB per cell

***

A relaxed Ce5TlGe2 crystal. Source: Alexandria via LeMat-Bulk, functional PBE.

CIF file:
```
data_Ce5TlGe2
_cell_length_a 7.942
_cell_length_b 7.942
_cell_length_c 14.085
_cell_angle_alpha 90.00
_cell_angle_beta 90.00
_cell_angle_gamma 90.00
_space_group_name_H-M_alt 'I 4/m c m'
_space_group_IT_number 140
_space_group_name_Hall '-I 4 2c'
loop_
_atom_site_label
_atom_site_fract_x
_atom_site_fract_y
_atom_site_fract_z
Ce1 0.000 0.000 0.000
Ce2 0.162 0.338 0.143
Tl1 0.000 0.000 0.250
Ge1 0.138 0.362 0.500
```

Results
formation energy = -3.6 eV/f.u.
size of the total moment = 26.18 μB per cell

***

A relaxed CsRb2H4 crystal. Source: Alexandria via LeMat-Bulk, functional PBE.

CIF file:
```
data_CsRb2H4
_cell_length_a 4.401
_cell_length_b 9.807
_cell_length_c 16.419
_cell_angle_alpha 90.00
_cell_angle_beta 90.00
_cell_angle_gamma 90.00
_space_group_name_H-M_alt 'C m c m'
_space_group_IT_number 63
_space_group_name_Hall '-C 2c 2'
loop_
_atom_site_label
_atom_site_fract_x
_atom_site_fract_y
_atom_site_fract_z
Cs1 0.000 0.077 0.250
Rb1 0.000 0.351 0.077
H1 0.000 0.000 0.000
H2 0.000 0.348 0.603
H3 0.000 0.375 0.250
```

Results
E = -2.147 eV/atom
size of the total moment = 3.98 μB per cell